(1)
FeSb2Cl, relaxed, DFT GGA-PBEsol; magnetization = 0.741 μB/atom; relative energy among the computed polymorphs = 0 meV per atom; calculated total energy = -0.180 hartree per atom; space group = Cmm2; calculated volume = 86.3 Å³/cell
1.0
1.9070 -2.4955 0.0000
1.9070 2.4955 0.0000
0.0000 0.0000 9.0692
Fe Sb Cl
1 2 1
Direct
0.0000 0.0000 0.0000
0.0000 0.0000 0.5048
0.5000 0.5000 0.2163
0.5000 0.5000 0.8466


(2)
TiW3C, relaxed, DFT GGA-PBEsol; magnetization = 0.000 μB/atom; relative energy among the computed polymorphs = 3219 meV per atom; calculated total energy = -0.315 hartree per atom; space group = Pm-3m; calculated volume = 90.7 Å³/cell
1.0
4.4922 0.0000 0.0000
0.0000 4.4922 0.0000
0.0000 0.0000 4.4922
Ti W C
1 3 1
Direct
0.0000 0.0000 0.0000
0.0000 0.0000 0.5000
0.0000 0.5000 0.0000
0.5000 0.0000 0.0000
0.5000 0.5000 0.5000